[1]
Entry from the Alexandria database: a relaxed BeInFe2 crystal (GGA-PBE). Values from VASP.

Summary:
The energy relative to the lowest polymorph listed for this composition is 64 meV per atom. Its total energy is -5.632 eV per atom. The formation energy is 0.22 eV/atom.

The structure in Quantum ESPRESSO input format:
```
&SYSTEM
  ibrav = 0, nat = 4, ntyp = 3
/
ATOMIC_SPECIES
Be 9.01 Be.upf
In 114.82 In.upf
Fe 55.84 Fe.upf
CELL_PARAMETERS angstrom
3.6631 0.0000 0.0000
0.0000 3.6631 0.0000
0.0000 0.0000 3.9205
ATOMIC_POSITIONS angstrom
Be 0.0000 0.0000 0.0000
In 1.8316 1.8316 0.0000
Fe 0.0000 1.8316 1.9602
Fe 1.8316 0.0000 1.9602
```


[2]
Entry from the Alexandria database: a relaxed BeInFe crystal (GGA-PBE). Values from VASP.

Summary:
The energy relative to the lowest polymorph listed for this composition is 210 meV per atom. Its total energy is -4.543 eV per atom. The formation energy is 0.43 eV/atom.

The structure in Quantum ESPRESSO input format:
```
&SYSTEM
  ibrav = 0, nat = 3, ntyp = 3
/
ATOMIC_SPECIES
Be 9.01 Be.upf
In 114.82 In.upf
Fe 55.84 Fe.upf
CELL_PARAMETERS angstrom
0.0000 2.8381 2.8381
2.8381 0.0000 2.8381
2.8381 2.8381 0.0000
ATOMIC_POSITIONS angstrom
Be 0.0000 0.0000 0.0000
In 1.4191 1.4191 1.4191
Fe 4.2572 4.2572 4.2572
```


[3]
Entry from the Alexandria database: a relaxed BeInFe2 crystal (GGA-PBE). Values from VASP.

Summary:
The energy relative to the lowest polymorph listed for this composition is 98 meV per atom. Its total energy is -5.599 eV per atom. The formation energy is 0.25 eV/atom.

The structure in Quantum ESPRESSO input format:
```
&SYSTEM
  ibrav = 0, nat = 4, ntyp = 3
/
ATOMIC_SPECIES
Be 9.01 Be.upf
In 114.82 In.upf
Fe 55.84 Fe.upf
CELL_PARAMETERS angstrom
-1.9462 1.9462 3.4612
1.9462 -1.9462 3.4612
1.9462 1.9462 -3.4612
ATOMIC_POSITIONS angstrom
Be 0.0000 0.0000 0.0000
In 0.0000 1.9462 1.7306
Fe 1.9462 0.0000 1.7306
Fe 0.0000 0.0000 3.4612
```


[4]
Entry from the Alexandria database: a relaxed Be2InFe2 crystal (GGA-PBE). Values from VASP.

Summary:
The energy relative to the lowest polymorph listed for this composition is 141 meV per atom. Its total energy is -5.195 eV per atom. The formation energy is 0.23 eV/atom.

The structure in Quantum ESPRESSO input format:
```
&SYSTEM
  ibrav = 0, nat = 10, ntyp = 3
/
ATOMIC_SPECIES
Be 9.01 Be.upf
In 114.82 In.upf
Fe 55.84 Fe.upf
CELL_PARAMETERS angstrom
6.7602 0.0000 0.0000
0.0000 6.7602 0.0000
0.0000 0.0000 2.6710
ATOMIC_POSITIONS angstrom
Be 1.1365 2.2436 0.0000
Be 2.2436 5.6236 0.0000
Be 4.5166 1.1365 0.0000
Be 5.6236 4.5166 0.0000
In 0.0000 0.0000 1.3355
In 3.3801 3.3801 1.3355
Fe 0.8218 4.2019 1.3355
Fe 2.5583 0.8218 1.3355
Fe 4.2019 5.9383 1.3355
Fe 5.9383 2.5583 1.3355
```


[5]
Entry from the Alexandria database: a relaxed BeIn2Fe crystal (GGA-PBE). Values from VASP.

Summary:
Its total energy is -3.559 eV per atom. The formation energy is 0.86 eV/atom.

The structure in Quantum ESPRESSO input format:
```
&SYSTEM
  ibrav = 0, nat = 8, ntyp = 3
/
ATOMIC_SPECIES
Be 9.01 Be.upf
In 114.82 In.upf
Fe 55.84 Fe.upf
CELL_PARAMETERS angstrom
-3.5350 3.5350 2.7824
3.5350 -3.5350 2.7824
3.5350 3.5350 -2.7824
ATOMIC_POSITIONS angstrom
Be 0.0000 0.0000 0.0000
Be 0.0000 3.5350 1.3912
In 5.3025 1.6461 -0.6956
In 1.6461 1.7675 0.6956
In -1.7675 1.8889 2.0868
In 1.8889 1.7675 3.4781
Fe 3.5350 0.0000 1.3912
Fe 0.0000 0.0000 2.7824
```


[6]
Entry from the Alexandria database: a relaxed BeIn4Fe crystal (GGA-PBE). Values from VASP.

Summary:
Its total energy is -2.929 eV per atom. The formation energy is 0.93 eV/atom.

The structure in Quantum ESPRESSO input format:
```
&SYSTEM
  ibrav = 0, nat = 6, ntyp = 3
/
ATOMIC_SPECIES
Be 9.01 Be.upf
In 114.82 In.upf
Fe 55.84 Fe.upf
CELL_PARAMETERS angstrom
0.0000 4.1454 4.1454
4.1454 0.0000 4.1454
4.1454 4.1454 0.0000
ATOMIC_POSITIONS angstrom
Be 0.0000 0.0000 0.0000
In 3.1086 3.1086 3.1086
In 5.1823 5.1823 3.1086
In 5.1823 3.1086 5.1823
In 3.1086 5.1823 5.1823
Fe 6.2181 6.2181 6.2181
```


[7]
Entry from the Alexandria database: a relaxed BeInFe2 crystal (GGA-PBE). Values from VASP.

Summary:
The energy relative to the lowest polymorph listed for this composition is 464 meV per atom. Its total energy is -5.233 eV per atom. The formation energy is 0.61 eV/atom.

The structure in Quantum ESPRESSO input format:
```
&SYSTEM
  ibrav = 0, nat = 8, ntyp = 3
/
ATOMIC_SPECIES
Be 9.01 Be.upf
In 114.82 In.upf
Fe 55.84 Fe.upf
CELL_PARAMETERS angstrom
-1.8569 1.8569 8.2605
1.8569 -1.8569 8.2605
1.8569 1.8569 -8.2605
ATOMIC_POSITIONS angstrom
Be 0.0000 0.0000 0.0000
Be 0.0000 1.8569 4.1302
In 1.8569 0.0000 4.1302
In 0.0000 0.0000 8.2605
Fe 0.9285 0.4930 -2.0651
Fe 1.3640 -0.9285 10.3256
Fe 0.9285 1.3640 6.1954
Fe 0.4930 2.7854 2.0651
```


[8]
Entry from the Alexandria database: a relaxed BeInFe crystal (GGA-PBE). Values from VASP.

Summary:
The energy relative to the lowest polymorph listed for this composition is 136 meV per atom. Its total energy is -4.618 eV per atom. The formation energy is 0.36 eV/atom.

The structure in Quantum ESPRESSO input format:
```
&SYSTEM
  ibrav = 0, nat = 3, ntyp = 3
/
ATOMIC_SPECIES
Be 9.01 Be.upf
In 114.82 In.upf
Fe 55.84 Fe.upf
CELL_PARAMETERS angstrom
4.0145 0.0000 0.0000
-2.0073 3.4767 0.0000
0.0000 0.0000 2.9232
ATOMIC_POSITIONS angstrom
Be 0.0000 0.0000 0.0000
In 0.0000 2.3178 1.4965
Fe 2.0073 1.1589 0.0402
```


[9]
Entry from the Alexandria database: a relaxed BeIn2Fe crystal (GGA-PBE). Values from VASP.

Summary:
Its total energy is -3.875 eV per atom. The formation energy is 0.54 eV/atom.

The structure in Quantum ESPRESSO input format:
```
&SYSTEM
  ibrav = 0, nat = 4, ntyp = 3
/
ATOMIC_SPECIES
Be 9.01 Be.upf
In 114.82 In.upf
Fe 55.84 Fe.upf
CELL_PARAMETERS angstrom
2.9300 0.0000 0.0000
0.0000 4.0732 0.0000
-0.0298 0.0000 5.8358
ATOMIC_POSITIONS angstrom
Be 0.0000 0.0000 0.0000
In -0.0069 2.0366 4.3454
In 2.9071 2.0366 1.4904
Fe 1.4501 0.0000 2.9179
```


[10]
Entry from the Alexandria database: a relaxed BeIn2Fe crystal (GGA-PBE). Values from VASP.

Summary:
Its total energy is -4.087 eV per atom. The formation energy is 0.33 eV/atom.

The structure in Quantum ESPRESSO input format:
```
&SYSTEM
  ibrav = 0, nat = 4, ntyp = 3
/
ATOMIC_SPECIES
Be 9.01 Be.upf
In 114.82 In.upf
Fe 55.84 Fe.upf
CELL_PARAMETERS angstrom
5.3150 -1.5750 0.0000
5.3150 1.5750 0.0000
-1.6667 0.0000 3.9541
ATOMIC_POSITIONS angstrom
Be 0.0000 0.0000 0.0000
In 0.9147 0.0000 2.7597
In 3.7360 0.0000 1.6345
Fe 6.7405 0.0000 0.6444
```


[11]
Entry from the Alexandria database: a relaxed BeInFe2 crystal (GGA-PBE). Values from VASP.

Summary:
The energy relative to the lowest polymorph listed for this composition is 11 meV per atom. Its total energy is -5.686 eV per atom. The formation energy is 0.16 eV/atom.

The structure in Quantum ESPRESSO input format:
```
&SYSTEM
  ibrav = 0, nat = 4, ntyp = 3
/
ATOMIC_SPECIES
Be 9.01 Be.upf
In 114.82 In.upf
Fe 55.84 Fe.upf
CELL_PARAMETERS angstrom
2.9501 0.0000 0.0000
0.0000 2.9501 0.0000
0.0000 0.0000 6.0603
ATOMIC_POSITIONS angstrom
Be 0.0000 0.0000 0.0000
In 1.4751 1.4751 4.1366
Fe 0.0000 0.0000 2.2937
Fe 1.4751 1.4751 1.0210
```


[12]
Entry from the Alexandria database: a relaxed BeIn2Fe crystal (GGA-PBE). Values from VASP.

Summary:
Its total energy is -4.146 eV per atom. The formation energy is 0.27 eV/atom.

The structure in Quantum ESPRESSO input format:
```
&SYSTEM
  ibrav = 0, nat = 4, ntyp = 3
/
ATOMIC_SPECIES
Be 9.01 Be.upf
In 114.82 In.upf
Fe 55.84 Fe.upf
CELL_PARAMETERS angstrom
3.0282 0.0000 0.0000
0.0000 3.0282 0.0000
0.0000 0.0000 7.1393
ATOMIC_POSITIONS angstrom
Be 0.0000 0.0000 0.0000
In 0.0000 0.0000 2.5297
In 1.5141 1.5141 5.1745
Fe 1.5141 1.5141 0.7608
```


Q: The highest formation energy belongs to which entry?
A: BeIn4Fe


Q: Among the records above, which one has the lowest formation energy?
A: number 11